Crystalline Zr2SnTe at its relaxed geometry. Source: Alexandria, functional GGA-PBE.

Lattice parameters (Å, degrees): 4.1528 4.1528 20.4503 90.00 90.00 120.00
With the nearest neighbours (Å) after each atom.
Space group R-3m (No. 166, hexagonal axes)
Symmetry-distinct sites (fractional):
Zr (0.0000, 0.0000, 0.2434) x6  3 Sn 2.87, 3 Te 3.02
Sn (0.0000, 0.0000, 0.5000) x3  6 Zr 2.87
Te (0.0000, 0.0000, 0.0000) x3  6 Zr 3.02

- V (Å³ per atom) = 25.453
- total magnetic moment (μB/atom) = 0.0000
- energy relative to the elements, uncorrected (kJ/mol of formula units) = -175
- ΔE to the lowest computed polymorph (meV/atom) = 0.0
- mass density (g/cm³) = 7.0
- calculated total energy (eV per atom) = -6.51